(1)
TcAgO2 PBE-GGA optimized geometry; SG = Fm-3m, No. 225; ΔE to the lowest computed polymorph = 1.0120 eV/atom; formation energy without anion corrections = 0.244 eV/atom; final energy = -5.54 eV per atom
1.0
0.000 2.812 2.812
2.812 0.000 2.812
2.812 2.812 0.000
Tc Ag O
1 1 2
direct
0.000 0.000 0.000 Tc
0.500 0.500 0.500 Ag
0.250 0.250 0.250 O
0.750 0.750 0.750 O

=====

(2)
MnInAu PBE-GGA optimized geometry; SG = P3m1, No. 156; energy of formation from the pure elements = 0.14 eV/atom; final energy = -4.92 eV per atom
1.0
3.248 0.000 0.000
-1.624 2.813 0.000
0.000 0.000 6.457
Mn In Au
1 1 1
direct
0.000 0.000 0.000 Mn
0.333 0.667 0.652 In
0.667 0.333 0.296 Au

=====

final energy of number 1 (TcAgO2)? -5.54 eV per atom